Entry from the Alexandria database: an optimized crystal structure of AlAuSe2N (GGA-PBE).

a = 5.196 Å, b = 5.196 Å, c = 3.462 Å
α = 90.00°, β = 90.00°, γ = 90.00°
Sites, in units of the cell vectors:
Au  0.500  0.500  0.500
Al  0.000  0.000  0.000
Se  0.000  0.500  0.000
Se  0.500  0.000  0.000
N  0.000  0.000  0.500

Computed properties:
Total moment (μB per atom): 0.000
Total DFT energy (no corrections) (eV per cell): -20.00
Offset from the most stable computed form (meV per atom): 0
Space group: P4/mmm (123)
Crystal system: tetragonal
DOS at the Fermi energy (states/eV per atom): 1.653

---

Entry from the Alexandria database: an optimized crystal structure of Ag6PdBr12 (GGA-PBE).

a = 8.367 Å, b = 8.367 Å, c = 8.367 Å
α = 86.87°, β = 86.87°, γ = 86.87°
Sites, in units of the cell vectors:
Ag  0.106  0.295  0.597
Ag  0.705  0.403  0.894
Ag  0.403  0.894  0.705
Ag  0.894  0.705  0.403
Ag  0.295  0.597  0.106
Ag  0.597  0.106  0.295
Pd  0.000  0.000  0.000
Br  0.409  0.186  0.562
Br  0.186  0.562  0.409
Br  0.562  0.409  0.186
Br  0.591  0.814  0.438
Br  0.814  0.438  0.591
Br  0.438  0.591  0.814
Br  0.026  0.986  0.696
Br  0.304  0.974  0.014
Br  0.014  0.304  0.974
Br  0.974  0.014  0.304
Br  0.696  0.026  0.986
Br  0.986  0.696  0.026

Computed properties:
Total moment (μB per atom): 0.000
Total DFT energy (no corrections) (eV per cell): -47.19
Space group: R-3 (148)
Crystal system: trigonal
DOS at the Fermi energy (states/eV per atom): 0.620

---

Entry from the Alexandria database: an optimized crystal structure of Fe2PtSe (GGA-PBE).

a = 4.884 Å, b = 4.884 Å, c = 4.884 Å
α = 134.24°, β = 134.24°, γ = 66.72°
Last column: magnetic moment on the atom in μB.
Sites, in units of the cell vectors:
Fe  0.000  0.000  0.000  2.92
Fe  0.250  0.750  0.500  2.87
Pt  0.500  0.500  0.000  0.27
Se  0.750  0.250  0.500  0.07

Computed properties:
Total moment (μB per atom): 1.547
Total DFT energy (no corrections) (eV per cell): -25.64
Space group: I-4m2 (119)
Crystal system: tetragonal
DOS at the Fermi energy (states/eV per atom): 1.066

---

Entry from the Alexandria database: an optimized crystal structure of TbPaHgO6 (GGA-PBE).

a = 4.925 Å, b = 5.647 Å, c = 5.647 Å
α = 120.00°, β = 90.00°, γ = 90.00°
Last column: magnetic moment on the atom in μB.
Sites, in units of the cell vectors:
Tb  0.500  0.000  0.000  0.00
Pa  0.000  0.333  0.667  0.07
Hg  0.500  0.667  0.333  0.18
O  0.749  0.649  0.665  0.17
O  0.749  0.335  0.984  0.17
O  0.749  0.016  0.351  0.17
O  0.251  0.335  0.351  0.17
O  0.251  0.649  0.984  0.17
O  0.251  0.016  0.665  0.17

Computed properties:
Total moment (μB per atom): 0.162
Total DFT energy (no corrections) (eV per cell): -63.82
Space group: P312 (149)
Crystal system: trigonal
DOS at the Fermi energy (states/eV per atom): 0.747

---

Entry from the Alexandria database: an optimized crystal structure of ZrTa2B2 (GGA-PBE).

a = 6.351 Å, b = 6.351 Å, c = 3.328 Å
α = 90.00°, β = 90.00°, γ = 90.00°
Sites, in units of the cell vectors:
B  0.397  0.897  0.000
B  0.897  0.603  0.000
B  0.603  0.103  0.000
B  0.103  0.397  0.000
Zr  0.000  0.000  0.000
Zr  0.500  0.500  0.000
Ta  0.174  0.674  0.500
Ta  0.674  0.826  0.500
Ta  0.826  0.326  0.500
Ta  0.326  0.174  0.500

Computed properties:
Calculated formation energy (meV/atom): -492
Total moment (μB per atom): 0.000
Total DFT energy (no corrections) (eV per cell): -96.14
Space group: P4/mbm (127)
Crystal system: tetragonal
DOS at the Fermi energy (states/eV per atom): 0.500

---

Entry from the Alexandria database: an optimized crystal structure of KAg3B (GGA-PBE).

a = 4.625 Å, b = 4.625 Å, c = 4.625 Å
α = 90.00°, β = 90.00°, γ = 90.00°
Sites, in units of the cell vectors:
K  0.500  0.500  0.500
B  0.000  0.000  0.000
Ag  0.000  0.500  0.000
Ag  0.000  0.000  0.500
Ag  0.500  0.000  0.000

Computed properties:
Calculated formation energy (meV/atom): 347
Total moment (μB per atom): 0.000
Total DFT energy (no corrections) (eV per cell): -14.59
Offset from the most stable computed form (meV per atom): 0
Space group: Pm-3m (221)
Crystal system: cubic
DOS at the Fermi energy (states/eV per atom): 0.453

---

Entry from the Alexandria database: an optimized crystal structure of KY2Pb (GGA-PBE).

a = 6.570 Å, b = 6.570 Å, c = 3.403 Å
α = 90.00°, β = 90.00°, γ = 114.62°
Last column: magnetic moment on the atom in μB.
Sites, in units of the cell vectors:
K  0.500  0.000  0.500  0.00
Pb  0.000  0.500  0.500  0.00
Y  0.000  0.000  0.000  0.16
Y  0.500  0.500  0.000  0.16

Computed properties:
Calculated formation energy (meV/atom): 238
Total moment (μB per atom): 0.137
Total DFT energy (no corrections) (eV per cell): -16.78
Space group: Cmmm (65)
Crystal system: orthorhombic
DOS at the Fermi energy (states/eV per atom): 1.176

---

Entry from the Alexandria database: an optimized crystal structure of Ba2ZrFe (GGA-PBE).

a = 6.058 Å, b = 6.058 Å, c = 3.618 Å
α = 90.00°, β = 90.00°, γ = 106.30°
Last column: magnetic moment on the atom in μB.
Sites, in units of the cell vectors:
Ba  0.000  0.000  0.000  -0.06
Ba  0.500  0.500  0.000  -0.06
Fe  0.500  0.000  0.500  3.04
Zr  0.000  0.500  0.500  0.03

Computed properties:
Calculated formation energy (meV/atom): 947
Total moment (μB per atom): 0.697
Total DFT energy (no corrections) (eV per cell): -17.07
Offset from the most stable computed form (meV per atom): 564
Space group: Cmmm (65)
Crystal system: orthorhombic
DOS at the Fermi energy (states/eV per atom): 1.644

---

Entry from the Alexandria database: an optimized crystal structure of Tm4Pd2Au (GGA-PBE).

a = 4.883 Å, b = 4.883 Å, c = 8.534 Å
α = 73.38°, β = 73.38°, γ = 60.00°
Sites, in units of the cell vectors:
Tm  0.873  0.873  0.380
Tm  0.127  0.127  0.620
Tm  0.623  0.623  0.132
Tm  0.377  0.377  0.868
Pd  0.753  0.753  0.740
Pd  0.247  0.247  0.260
Au  0.000  0.000  0.000

Computed properties:
Calculated formation energy (meV/atom): -750
Total moment (μB per atom): 0.000
Total DFT energy (no corrections) (eV per cell): -36.80
Space group: R-3m (166)
Crystal system: trigonal
DOS at the Fermi energy (states/eV per atom): 0.548

---

Entry from the Alexandria database: an optimized crystal structure of BeAsRhSe2 (GGA-PBE).

a = 4.544 Å, b = 4.544 Å, c = 4.265 Å
α = 90.00°, β = 90.00°, γ = 90.00°
Sites, in units of the cell vectors:
Be  0.000  0.000  0.000
As  0.000  0.000  0.500
Rh  0.500  0.500  0.500
Se  0.000  0.500  0.000
Se  0.500  0.000  0.000

Computed properties:
Total moment (μB per atom): 0.000
Total DFT energy (no corrections) (eV per cell): -19.94
Offset from the most stable computed form (meV per atom): 0
Space group: P4/mmm (123)
Crystal system: tetragonal
DOS at the Fermi energy (states/eV per atom): 0.628

---

Entry from the Alexandria database: an optimized crystal structure of Re3Hg2 (GGA-PBE).

a = 4.416 Å, b = 4.416 Å, c = 5.543 Å
α = 90.00°, β = 90.00°, γ = 120.00°
Last column: magnetic moment on the atom in μB.
Sites, in units of the cell vectors:
Re  0.000  0.000  0.000  0.63
Re  0.667  0.333  0.649  -0.06
Re  0.333  0.667  0.351  -0.06
Hg  0.667  0.333  0.172  0.00
Hg  0.333  0.667  0.828  0.00

Computed properties:
Calculated formation energy (meV/atom): 1796
Total moment (μB per atom): 0.119
Total DFT energy (no corrections) (eV per cell): -28.97
Offset from the most stable computed form (meV per atom): 1179
Space group: P-3m1 (164)
Crystal system: trigonal
DOS at the Fermi energy (states/eV per atom): 1.094

---

Entry from the Alexandria database: an optimized crystal structure of Li4Pu3ScS8 (GGA-PBE).

a = 7.798 Å, b = 7.580 Å, c = 7.797 Å
α = 120.95°, β = 120.00°, γ = 90.00°
Last column: magnetic moment on the atom in μB.
Sites, in units of the cell vectors:
Li  0.500  0.000  0.000  0.00
Li  0.500  0.000  0.500  0.00
Li  0.000  0.000  0.000  0.00
Li  0.000  0.000  0.500  0.00
Pu  0.500  0.500  0.000  5.01
Pu  0.500  0.500  0.500  5.01
Pu  0.000  0.500  0.500  5.01
Sc  0.000  0.500  0.000  0.12
S  0.243  0.747  0.004  -0.07
S  0.243  0.747  0.486  -0.07
S  0.250  0.249  0.499  -0.11
S  0.761  0.747  0.004  -0.07
S  0.239  0.253  0.996  -0.07
S  0.750  0.751  0.501  -0.11
S  0.757  0.253  0.514  -0.07
S  0.757  0.253  0.996  -0.07

Computed properties:
Total moment (μB per atom): 0.938
Total DFT energy (no corrections) (eV per cell): -115.49
Space group: R-3m (166)
Crystal system: trigonal
DOS at the Fermi energy (states/eV per atom): 1.619